[1]
# LiCa2SnPd6 (PBE-GGA, optimized geometry)
# Energy = -4.615 eV per atom
# Crystal system = triclinic
data_LiCa2SnPd6
_cell_length_a 5.590
_cell_length_b 6.491
_cell_length_c 6.586
_cell_angle_alpha 70.90
_cell_angle_beta 65.00
_cell_angle_gamma 64.80
_space_group_name_H-M_alt 'P -1'
_space_group_IT_number 2
_space_group_name_Hall '-P 1'
loop_
_atom_site_label
_atom_site_type_symbol
_atom_site_fract_x
_atom_site_fract_y
_atom_site_fract_z
_atom_site_occupancy
Li1 Li 0.000 0.000 0.000 1
Ca1 Ca 0.497 0.247 0.759 1
Sn1 Sn 0.000 0.500 0.500 1
Pd1 Pd 0.008 0.811 0.683 1
Pd2 Pd 0.188 0.569 0.053 1
Pd3 Pd 0.500 0.191 0.317 1

***

[2]
# LiCa2Sn2Pd5 (PBE-GGA, optimized geometry)
# Energy = -4.524 eV per atom
# Crystal system = tetragonal
data_LiCa2Sn2Pd5
_cell_length_a 10.649
_cell_length_b 10.649
_cell_length_c 3.513
_cell_angle_alpha 90.00
_cell_angle_beta 90.00
_cell_angle_gamma 90.00
_space_group_name_H-M_alt 'P 4/m b m'
_space_group_IT_number 127
_space_group_name_Hall '-P 4 2ab'
loop_
_atom_site_label
_atom_site_type_symbol
_atom_site_fract_x
_atom_site_fract_y
_atom_site_fract_z
_atom_site_occupancy
Li1 Li 0.000 0.000 0.000 1
Ca1 Ca 0.167 0.333 0.000 1
Sn1 Sn 0.137 0.637 0.000 1
Pd1 Pd 0.000 0.500 0.500 1
Pd2 Pd 0.049 0.809 0.500 1

***

[3]
# SrLi2CaPd (PBE-GGA, optimized geometry)
# Energy = -2.580 eV per atom
# Crystal system = tetragonal
data_SrLi2CaPd
_cell_length_a 5.234
_cell_length_b 5.234
_cell_length_c 5.630
_cell_angle_alpha 90.00
_cell_angle_beta 90.00
_cell_angle_gamma 90.00
_space_group_name_H-M_alt 'P 4/m m m'
_space_group_IT_number 123
_space_group_name_Hall '-P 4 2'
loop_
_atom_site_label
_atom_site_type_symbol
_atom_site_fract_x
_atom_site_fract_y
_atom_site_fract_z
_atom_site_occupancy
Sr1 Sr 0.000 0.000 0.000 1
Li1 Li 0.000 0.500 0.500 1
Ca1 Ca 0.500 0.500 0.000 1
Pd1 Pd 0.000 0.000 0.500 1

***

[4]
# SrLi2CaPd (PBE-GGA, optimized geometry)
# Energy = -1.479 eV per atom
# Crystal system = tetragonal
data_SrLi2CaPd
_cell_length_a 5.013
_cell_length_b 5.013
_cell_length_c 6.326
_cell_angle_alpha 90.00
_cell_angle_beta 90.00
_cell_angle_gamma 90.00
_space_group_name_H-M_alt 'P 4/m m m'
_space_group_IT_number 123
_space_group_name_Hall '-P 4 2'
loop_
_atom_site_label
_atom_site_type_symbol
_atom_site_fract_x
_atom_site_fract_y
_atom_site_fract_z
_atom_site_occupancy
Sr1 Sr 0.000 0.000 0.000 1
Li1 Li 0.000 0.500 0.000 1
Ca1 Ca 0.000 0.000 0.500 1
Pd1 Pd 0.500 0.500 0.500 1

***

[5]
# SrLiCa2Pd (PBE-GGA, optimized geometry)
# Energy = -2.803 eV per atom
# Crystal system = tetragonal
data_SrLiCa2Pd
_cell_length_a 5.641
_cell_length_b 5.641
_cell_length_c 5.951
_cell_angle_alpha 90.00
_cell_angle_beta 90.00
_cell_angle_gamma 90.00
_space_group_name_H-M_alt 'P 4/m m m'
_space_group_IT_number 123
_space_group_name_Hall '-P 4 2'
loop_
_atom_site_label
_atom_site_type_symbol
_atom_site_fract_x
_atom_site_fract_y
_atom_site_fract_z
_atom_site_occupancy
Sr1 Sr 0.000 0.000 0.000 1
Li1 Li 0.500 0.500 0.000 1
Ca1 Ca 0.000 0.500 0.500 1
Pd1 Pd 0.000 0.000 0.500 1

***

[6]
# SrLi2CaPd2 (PBE-GGA, optimized geometry)
# Energy = -3.412 eV per atom
# Crystal system = trigonal
data_SrLi2CaPd2
_cell_length_a 4.5092
_cell_length_b 4.5092
_cell_length_c 7.7622
_cell_angle_alpha 90.00
_cell_angle_beta 90.00
_cell_angle_gamma 120.00
_space_group_name_H-M_alt 'P -3 m 1'
_space_group_IT_number 164
_space_group_name_Hall '-P 3 2"'
loop_
_atom_site_label
_atom_site_type_symbol
_atom_site_fract_x
_atom_site_fract_y
_atom_site_fract_z
_atom_site_occupancy
Sr1 Sr 0.0000 0.0000 0.0000 1
Li1 Li 0.3333 0.6667 0.7016 1
Ca1 Ca 0.0000 0.0000 0.5000 1
Pd1 Pd 0.3333 0.6667 0.2813 1

***

[7]
# SrLiCaPd (PBE-GGA, optimized geometry)
# Energy = -2.985 eV per atom
# Crystal system = cubic
data_SrLiCaPd
_cell_length_a 7.553
_cell_length_b 7.553
_cell_length_c 7.553
_cell_angle_alpha 90.00
_cell_angle_beta 90.00
_cell_angle_gamma 90.00
_space_group_name_H-M_alt 'F -4 3 m'
_space_group_IT_number 216
_space_group_name_Hall 'F -4 2 3'
loop_
_atom_site_label
_atom_site_type_symbol
_atom_site_fract_x
_atom_site_fract_y
_atom_site_fract_z
_atom_site_occupancy
Sr1 Sr 0.000 0.000 0.000 1
Li1 Li 0.250 0.250 0.250 1
Ca1 Ca 0.000 0.000 0.500 1
Pd1 Pd 0.250 0.250 0.750 1

***

[8]
# SrLiCa2Pd (PBE-GGA, optimized geometry)
# Energy = -2.757 eV per atom
# Crystal system = tetragonal
data_SrLiCa2Pd
_cell_length_a 5.620
_cell_length_b 5.620
_cell_length_c 5.408
_cell_angle_alpha 90.00
_cell_angle_beta 90.00
_cell_angle_gamma 90.00
_space_group_name_H-M_alt 'P 4/m m m'
_space_group_IT_number 123
_space_group_name_Hall '-P 4 2'
loop_
_atom_site_label
_atom_site_type_symbol
_atom_site_fract_x
_atom_site_fract_y
_atom_site_fract_z
_atom_site_occupancy
Sr1 Sr 0.000 0.000 0.000 1
Li1 Li 0.500 0.500 0.000 1
Ca1 Ca 0.000 0.500 0.500 1
Pd1 Pd 0.500 0.500 0.500 1

***

[9]
# SrLi2CaPd (PBE-GGA, optimized geometry)
# Energy = -2.671 eV per atom
# Crystal system = tetragonal
data_SrLi2CaPd
_cell_length_a 5.249
_cell_length_b 5.249
_cell_length_c 5.351
_cell_angle_alpha 90.00
_cell_angle_beta 90.00
_cell_angle_gamma 90.00
_space_group_name_H-M_alt 'P 4/m m m'
_space_group_IT_number 123
_space_group_name_Hall '-P 4 2'
loop_
_atom_site_label
_atom_site_type_symbol
_atom_site_fract_x
_atom_site_fract_y
_atom_site_fract_z
_atom_site_occupancy
Sr1 Sr 0.000 0.000 0.000 1
Li1 Li 0.000 0.500 0.500 1
Ca1 Ca 0.500 0.500 0.000 1
Pd1 Pd 0.500 0.500 0.500 1

***

[10]
# LiCaTb2Pd4 (PBE-GGA, optimized geometry)
# Energy = -4.958 eV per atom
# Crystal system = trigonal
data_LiCaTb2Pd4
_cell_length_a 4.8582
_cell_length_b 4.8582
_cell_length_c 23.8272
_cell_angle_alpha 90.00
_cell_angle_beta 90.00
_cell_angle_gamma 120.00
_space_group_name_H-M_alt 'R -3 m'
_space_group_IT_number 166
_space_group_name_Hall '-R 3 2"'
loop_
_atom_site_label
_atom_site_type_symbol
_atom_site_fract_x
_atom_site_fract_y
_atom_site_fract_z
_atom_site_occupancy
Li1 Li 0.0000 0.0000 0.0000 1
Ca1 Ca 0.0000 0.0000 0.5000 1
Tb1 Tb 0.0000 0.0000 0.2556 1
Pd1 Pd 0.0000 0.0000 0.1198 1
Pd2 Pd 0.0000 0.0000 0.3751 1

***

[11]
# LiCaThPd (PBE-GGA, optimized geometry)
# Energy = -4.347 eV per atom
# Crystal system = cubic
data_LiCaThPd
_cell_length_a 7.262
_cell_length_b 7.262
_cell_length_c 7.262
_cell_angle_alpha 90.00
_cell_angle_beta 90.00
_cell_angle_gamma 90.00
_space_group_name_H-M_alt 'F -4 3 m'
_space_group_IT_number 216
_space_group_name_Hall 'F -4 2 3'
loop_
_atom_site_label
_atom_site_type_symbol
_atom_site_fract_x
_atom_site_fract_y
_atom_site_fract_z
_atom_site_occupancy
Li1 Li 0.000 0.000 0.000 1
Ca1 Ca 0.250 0.250 0.250 1
Th1 Th 0.250 0.250 0.750 1
Pd1 Pd 0.000 0.000 0.500 1

***

[12]
# LiCaTlPd (PBE-GGA, optimized geometry)
# Energy = -3.296 eV per atom
# Crystal system = cubic
data_LiCaTlPd
_cell_length_a 6.921
_cell_length_b 6.921
_cell_length_c 6.921
_cell_angle_alpha 90.00
_cell_angle_beta 90.00
_cell_angle_gamma 90.00
_space_group_name_H-M_alt 'F -4 3 m'
_space_group_IT_number 216
_space_group_name_Hall 'F -4 2 3'
loop_
_atom_site_label
_atom_site_type_symbol
_atom_site_fract_x
_atom_site_fract_y
_atom_site_fract_z
_atom_site_occupancy
Li1 Li 0.000 0.000 0.000 1
Ca1 Ca 0.250 0.250 0.750 1
Tl1 Tl 0.250 0.250 0.250 1
Pd1 Pd 0.000 0.000 0.500 1